This record from the Open Quantum Materials Database describes crystalline Er6Al7Cu16 at its relaxed geometry. The functional is PBE.

CIF file:
```
data_Er6Al7Cu16
_cell_length_a 12.231
_cell_length_b 12.231
_cell_length_c 12.231
_cell_angle_alpha 90.00
_cell_angle_beta 90.00
_cell_angle_gamma 90.00
_space_group_name_H-M_alt 'F m -3 m'
_space_group_IT_number 225
_space_group_name_Hall '-F 4 2 3'
loop_
_atom_site_label
_atom_site_fract_x
_atom_site_fract_y
_atom_site_fract_z
Er1 0.000 0.000 0.211
Al1 0.000 0.000 0.500
Al2 0.000 0.250 0.250
Cu1 0.121 0.121 0.379
Cu2 0.172 0.172 0.172
```

Computed properties:
total energy	-4.28	eV per atom
calculated volume	15.774	A^3/atom

This record from the Open Quantum Materials Database describes crystalline ErAl2Cu3 at its relaxed geometry. The functional is PBE.

CIF file:
```
data_ErAl2Cu3
_cell_length_a 5.2357
_cell_length_b 5.2357
_cell_length_c 3.9788
_cell_angle_alpha 90.00
_cell_angle_beta 90.00
_cell_angle_gamma 120.00
_space_group_name_H-M_alt 'P 6/m m m'
_space_group_IT_number 191
_space_group_name_Hall '-P 6 2'
loop_
_atom_site_label
_atom_site_fract_x
_atom_site_fract_y
_atom_site_fract_z
Er1 0.0000 0.0000 0.0000
Al1 0.3333 0.6667 0.0000
Cu1 0.0000 0.5000 0.5000
```

Computed properties:
total energy	-4.21	eV per atom
calculated volume	15.742	A^3/atom

This record from the Open Quantum Materials Database describes crystalline GdEr2Al3FeCu2 at its relaxed geometry. The functional is PBE.

CIF file:
```
data_GdEr2Al3FeCu2
_cell_length_a 3.958
_cell_length_b 12.119
_cell_length_c 7.023
_cell_angle_alpha 90.00
_cell_angle_beta 90.00
_cell_angle_gamma 90.00
_space_group_name_H-M_alt 'A m m 2'
_space_group_IT_number 38
_space_group_name_Hall 'A 2 -2'
loop_
_atom_site_label
_atom_site_fract_x
_atom_site_fract_y
_atom_site_fract_z
Gd1 0.000 0.000 0.000
Er1 0.000 0.207 0.622
Al1 0.500 0.000 0.651
Al2 0.500 0.118 0.299
Fe1 0.000 0.000 0.419
Cu1 0.500 0.169 0.915
```

Computed properties:
total energy	-4.90	eV per atom
calculated volume	18.712	A^3/atom

This record from the Open Quantum Materials Database describes crystalline ErTm2Al3FeCu2 at its relaxed geometry. The functional is PBE.

CIF file:
```
data_ErTm2Al3FeCu2
_cell_length_a 3.958
_cell_length_b 11.978
_cell_length_c 6.917
_cell_angle_alpha 90.00
_cell_angle_beta 90.00
_cell_angle_gamma 90.00
_space_group_name_H-M_alt 'A m m 2'
_space_group_IT_number 38
_space_group_name_Hall 'A 2 -2'
loop_
_atom_site_label
_atom_site_fract_x
_atom_site_fract_y
_atom_site_fract_z
Er1 0.000 0.000 0.000
Tm1 0.000 0.206 0.383
Al1 0.500 0.000 0.356
Al2 0.500 0.116 0.705
Fe1 0.000 0.000 0.587
Cu1 0.500 0.167 0.089
```

Computed properties:
total energy	-4.88	eV per atom
calculated volume	18.216	A^3/atom

This record from the Open Quantum Materials Database describes crystalline GdErAl4Cu2 at its relaxed geometry. The functional is PBE.

CIF file:
```
data_GdErAl4Cu2
_cell_length_a 6.767
_cell_length_b 4.225
_cell_length_c 10.109
_cell_angle_alpha 90.00
_cell_angle_beta 90.00
_cell_angle_gamma 90.00
_space_group_name_H-M_alt 'A m m 2'
_space_group_IT_number 38
_space_group_name_Hall 'A 2 -2'
loop_
_atom_site_label
_atom_site_fract_x
_atom_site_fract_y
_atom_site_fract_z
Gd1 0.000 0.000 0.000
Er1 0.500 0.000 0.857
Al1 0.198 0.000 0.289
Al2 0.304 0.000 0.569
Cu1 0.000 0.000 0.717
Cu2 0.500 0.000 0.139
```

Computed properties:
total energy	-4.39	eV per atom
calculated volume	18.063	A^3/atom

This record from the Open Quantum Materials Database describes crystalline GdEr2Al7Cu2 at its relaxed geometry. The functional is PBE.

CIF file:
```
data_GdEr2Al7Cu2
_cell_length_a 5.4747
_cell_length_b 5.4747
_cell_length_c 25.3711
_cell_angle_alpha 90.00
_cell_angle_beta 90.00
_cell_angle_gamma 120.00
_space_group_name_H-M_alt 'R -3 m'
_space_group_IT_number 166
_space_group_name_Hall '-R 3 2"'
loop_
_atom_site_label
_atom_site_fract_x
_atom_site_fract_y
_atom_site_fract_z
Gd1 0.0000 0.0000 0.0000
Er1 0.0000 0.0000 0.1422
Al1 0.0000 0.0000 0.5000
Al2 0.0063 0.5032 0.9210
Cu1 0.0000 0.0000 0.3353
```

Computed properties:
total energy	-4.44	eV per atom
calculated volume	18.293	A^3/atom

This record from the Open Quantum Materials Database describes crystalline GdEr2Al3CuGe2 at its relaxed geometry. The functional is PBE.

CIF file:
```
data_GdEr2Al3CuGe2
_cell_length_a 4.166
_cell_length_b 12.122
_cell_length_c 6.984
_cell_angle_alpha 90.00
_cell_angle_beta 90.00
_cell_angle_gamma 90.00
_space_group_name_H-M_alt 'A m m 2'
_space_group_IT_number 38
_space_group_name_Hall 'A 2 -2'
loop_
_atom_site_label
_atom_site_fract_x
_atom_site_fract_y
_atom_site_fract_z
Gd1 0.000 0.000 0.000
Er1 0.000 0.202 0.395
Al1 0.500 0.000 0.364
Al2 0.500 0.116 0.712
Cu1 0.000 0.000 0.592
Ge1 0.500 0.169 0.097
```

Computed properties:
total energy	-4.88	eV per atom
calculated volume	19.593	A^3/atom

This record from the Open Quantum Materials Database describes crystalline Gd2ErAl3CuGe2 at its relaxed geometry. The functional is PBE.

CIF file:
```
data_Gd2ErAl3CuGe2
_cell_length_a 4.196
_cell_length_b 12.148
_cell_length_c 7.027
_cell_angle_alpha 90.00
_cell_angle_beta 90.00
_cell_angle_gamma 90.00
_space_group_name_H-M_alt 'A m m 2'
_space_group_IT_number 38
_space_group_name_Hall 'A 2 -2'
loop_
_atom_site_label
_atom_site_fract_x
_atom_site_fract_y
_atom_site_fract_z
Gd1 0.000 0.201 0.000
Er1 0.000 0.000 0.605
Al1 0.500 0.000 0.970
Al2 0.500 0.115 0.319
Cu1 0.000 0.000 0.206
Ge1 0.500 0.165 0.701
```

Computed properties:
total energy	-4.89	eV per atom
calculated volume	19.899	A^3/atom